Record 1
Entry from Alexandria via LeMat-Bulk: a relaxed Hf2MnPdPt crystal (GGA-PBE).

```
5
Lattice="4.9201 0.0000 0.0000 0.0000 4.6418 0.0000 0.0000 0.0000 4.9201" Properties=species:S:1:pos:R:3 pbc="T T T"
Mn 0.0000 2.3209 0.0000
Hf 0.0000 0.0000 2.4601
Hf 2.4601 0.0000 0.0000
Pd 0.0000 0.0000 0.0000
Pt 2.4601 2.3209 2.4601
```

## Properties
Total moment = 3.53 Bohr magnetons per cell
ρ = 10.543 g/cm3
Final energy = -7.523 eV per atom
Density of states at the Fermi level = 0.9876 states/eV per atom



Record 2
Entry from Alexandria via LeMat-Bulk: a relaxed In2IrSe crystal (GGA-PBE).

```
4
Lattice="8.9323 0.0372 0.0221 8.2195 3.4967 0.0221 8.2195 1.6936 3.0593" Properties=species:S:1:pos:R:3 pbc="T T T"
In 25.3355 5.2202 3.0992
In 5.9764 1.2314 0.7311
Ir 12.4604 2.5674 1.5242
Se 19.6557 4.0499 2.4044
```

## Properties
Total moment = 0.00 Bohr magnetons per cell
E_form (uncorrected) = 23 meV per atom
ρ = 8.850 g/cm3
Density of states at the Fermi level = 0.3682 states/eV per atom



Record 3
Entry from Alexandria via LeMat-Bulk: a relaxed AlCuPbF6 crystal (GGA-PBE).

```
18
Lattice="-0.9112 4.4803 -3.0323 1.7865 -4.6079 -2.3821 -9.5577 -2.9427 -1.4757" Properties=species:S:1:pos:R:3 pbc="T T T"
Al -2.4014 0.7152 -3.1845
Al -6.2810 -3.7855 -3.7056
Cu -1.5022 -2.3142 -2.9678
Cu -7.1803 -0.7561 -3.9224
Pb 0.0000 0.0000 0.0000
Pb -4.7789 -1.4714 -0.7378
F -0.9176 -0.2565 -3.6656
F -1.6529 2.2410 -3.8838
F -4.7974 -4.7361 -4.2277
F -7.0296 -5.3113 -3.0063
F -3.1370 -0.8336 -2.5231
F -3.1599 0.3966 -4.8278
F -7.0265 -4.1483 -5.3458
F -3.8850 1.6658 -2.6624
F -5.5225 -3.4669 -2.0623
F -1.6560 1.0780 -1.5443
F -5.5454 -2.2367 -4.3670
F -7.7648 -2.8138 -3.2245
```

## Properties
Total moment = 0.22 Bohr magnetons per cell
E_form (uncorrected) = -2560 meV per atom
ρ = 5.189 g/cm3



Record 4
Entry from Alexandria via LeMat-Bulk: a relaxed CaMg2Tl6 crystal (GGA-PBE).

```
18
Lattice="-3.9614 -5.9316 5.0333 -2.6879 -0.5317 -8.2888 8.6269 -1.3293 -0.1469" Properties=species:S:1:pos:R:3 pbc="T T T"
Ca 2.9695 -0.9305 -4.2178
Ca 0.0000 0.0000 0.0000
Mg 4.4456 -4.2925 -0.5579
Mg -2.4680 -3.5001 -2.8444
Mg 3.0341 -4.7219 3.1778
Mg 1.6314 -2.5390 1.7087
Tl 2.9842 -4.5093 -3.4180
Tl -1.0066 -3.2833 0.0157
Tl 5.7971 -1.7751 -2.0408
Tl -3.8195 -6.0175 -1.3615
Tl -0.4880 -5.8172 -2.2881
Tl 2.4657 -1.9754 -1.1142
Tl 5.4087 -2.8976 -5.2944
Tl -3.4311 -4.8950 1.8921
Tl 1.8558 -5.4683 0.1678
Tl 0.1218 -2.3243 -3.5701
Tl 2.2600 -2.9943 -6.6071
Tl -0.2824 -4.7983 3.2048
```

## Properties
Total moment = 0.00 Bohr magnetons per cell
ρ = 8.548 g/cm3
Final energy = -2.240 eV per atom
Density of states at the Fermi level = 0.4464 states/eV per atom



Record 5
Entry from Alexandria via LeMat-Bulk: a relaxed BaSb2IN crystal (GGA-PBE).

```
5
Lattice="-3.9777 2.5100 -4.6893 -0.5621 -6.0212 -2.7461 -5.1273 -1.2096 3.7018" Properties=species:S:1:pos:R:3 pbc="T T T"
I -2.5637 -0.6048 1.8509
Sb -0.2811 -3.0106 -1.3730
Sb -1.9888 1.2550 -2.3446
Ba 0.0000 0.0000 0.0000
N -4.8336 -2.3604 -1.8668
```

## Properties
ΔE to the lowest computed polymorph = 822 kJ/mol of formula units
Total moment = 0.00 Bohr magnetons per cell
E_form (uncorrected) = 1840 meV per atom
ρ = 3.051 g/cm3
Density of states at the Fermi level = 3.9354 states/eV per atom



Record 6
Entry from Alexandria via LeMat-Bulk: a relaxed BaCd2In crystal (GGA-PBE).

```
4
Lattice="5.0191 -0.0923 0.1168 2.5497 4.3242 0.1168 2.4546 1.3724 5.9736" Properties=species:S:1:pos:R:3 pbc="T T T"
Cd 2.4647 1.3781 5.3446
Cd 5.0016 2.7965 3.7326
Ba 2.5059 1.4011 1.5518
In 7.5176 4.2032 4.6553
```

## Properties
Total moment = 0.00 Bohr magnetons per cell
ρ = 6.121 g/cm3
Final energy = -1.875 eV per atom
Density of states at the Fermi level = 0.7933 states/eV per atom



Record 7
Entry from Alexandria via LeMat-Bulk: a relaxed Ba5NaCd4 crystal (GGA-PBE).

```
10
Lattice="4.2624 0.0000 0.0000 0.0000 4.2624 0.0000 0.0000 0.0000 22.5662" Properties=species:S:1:pos:R:3 pbc="T T T"
Ba 2.1312 2.1312 2.7811
Ba 2.1312 2.1312 6.9900
Ba 2.1312 2.1312 11.2831
Ba 2.1312 2.1312 15.5762
Ba 2.1312 2.1312 19.7850
Na 0.0000 0.0000 0.0000
Cd 0.0000 0.0000 4.7958
Cd 0.0000 0.0000 9.1410
Cd 0.0000 0.0000 13.4251
Cd 0.0000 0.0000 17.7703
```

## Properties
Total moment = 0.00 Bohr magnetons per cell
ρ = 4.695 g/cm3
Final energy = -1.727 eV per atom
Density of states at the Fermi level = 0.8210 states/eV per atom



Record 8
Entry from Alexandria via LeMat-Bulk: a relaxed Y3ScHg2 crystal (GGA-PBE).

```
12
Lattice="5.1322 0.0000 0.0000 0.0000 6.7902 0.0000 0.0000 0.0000 9.1857" Properties=species:S:1:pos:R:3 pbc="T T T"
Y 0.0000 3.3054 8.7399
Y 0.0000 6.7005 0.4458
Y 2.5661 4.5962 1.6663
Y 2.5661 1.2011 7.5194
Y 0.0000 2.1701 3.0683
Y 0.0000 5.5652 6.1174
Sc 2.5661 3.5038 5.0597
Sc 2.5661 0.1087 4.1261
Hg 2.5661 4.9375 7.7697
Hg 2.5661 1.5424 1.4160
Hg 0.0000 1.8576 5.9979
Hg 0.0000 5.2527 3.1878
```

## Properties
Total moment = 0.00 Bohr magnetons per cell
ρ = 7.396 g/cm3
Final energy = -4.750 eV per atom
Density of states at the Fermi level = 0.4073 states/eV per atom



Q: What is the formula in the second record?
A: In2IrSe